Record 1
! SrSc2W (SCAN, single point on PBEsol structure); values from VASP
! crystal system = monoclinic
! SG = C2/m (12)
! polymorph energy (0 for the lowest one) = 0 meV per atom
! DFT formation energy = 2.5 eV/f.u.
&SYSTEM
  ibrav = 0, nat = 4, ntyp = 3
/
ATOMIC_SPECIES
Sc 44.96 Sc.upf
Sr 87.62 Sr.upf
W 183.84 W.upf
CELL_PARAMETERS angstrom
3.028 0.000 0.000
-1.514 4.749 0.017
0.000 -0.556 6.548
ATOMIC_POSITIONS angstrom
Sc 1.514 2.071 5.297
Sc 0.000 2.121 1.268
Sr 0.000 -0.278 3.274
W 1.514 0.000 0.000


Record 2
! ZrAlSb2Te (SCAN, single point on PBEsol structure); values from VASP
! crystal system = tetragonal
! SG = P4/mmm (123)
! formation energy without anion corrections = 2.8 eV/f.u.
! polymorph energy (0 for the lowest one) = 228 meV per atom
&SYSTEM
  ibrav = 0, nat = 5, ntyp = 4
/
ATOMIC_SPECIES
Sb 121.76 Sb.upf
Te 127.60 Te.upf
Al 26.98 Al.upf
Zr 91.22 Zr.upf
CELL_PARAMETERS angstrom
-0.999 -4.990 -0.019
3.963 -0.805 3.089
-3.132 0.611 4.177
ATOMIC_POSITIONS angstrom
Sb 1.982 -0.403 1.545
Sb -0.500 -2.495 -0.010
Te -1.566 0.306 2.089
Al 0.000 0.000 0.000
Zr -0.084 -2.592 3.624


Record 3
! Li2FeHg (SCAN, single point on PBEsol structure); values from VASP
! crystal system = monoclinic
! SG = P2/m (10)
! DFT formation energy = 0.2 eV/f.u.
&SYSTEM
  ibrav = 0, nat = 4, ntyp = 3
/
ATOMIC_SPECIES
Fe 55.84 Fe.upf
Hg 200.59 Hg.upf
Li 6.94 Li.upf
CELL_PARAMETERS angstrom
-1.982 -1.223 -1.433
2.918 -0.714 -3.426
1.587 -4.067 2.200
ATOMIC_POSITIONS angstrom
Fe 0.468 -0.969 -2.430
Hg 2.253 -2.391 -0.613
Li -0.265 -4.013 0.610
Li -0.129 -1.278 0.156


Record 4
! RbSnTe2 (SCAN, single point on PBEsol structure); values from VASP
! crystal system = tetragonal
! SG = I-42d (122)
! formation energy without anion corrections = -2.0 eV/f.u.
&SYSTEM
  ibrav = 0, nat = 8, ntyp = 3
/
ATOMIC_SPECIES
Te 127.60 Te.upf
Sn 118.71 Sn.upf
Rb 85.47 Rb.upf
CELL_PARAMETERS angstrom
8.537 0.000 0.000
-4.268 6.352 -0.749
0.000 -4.912 6.981
ATOMIC_POSITIONS angstrom
Te 1.521 -0.254 2.431
Te 7.015 -2.710 5.921
Te -2.134 1.341 4.303
Te 2.134 4.503 -0.190
Sn 0.000 -0.508 4.861
Sn 0.000 0.000 0.000
Rb 4.268 1.948 1.371
Rb 4.268 -2.456 3.491


Record 5
! SmDy3 (SCAN, single point on PBEsol structure); values from VASP
! crystal system = hexagonal
! SG = P6_3/mmc (194)
! polymorph energy (0 for the lowest one) = 0 meV per atom
! DFT formation energy = 0.1 eV/f.u.
&SYSTEM
  ibrav = 0, nat = 8, ntyp = 2
/
ATOMIC_SPECIES
Sm 150.36 Sm.upf
Dy 162.50 Dy.upf
CELL_PARAMETERS angstrom
5.587 0.000 0.000
0.000 7.085 0.000
0.000 -3.542 6.135
ATOMIC_POSITIONS angstrom
Sm 1.397 3.542 2.045
Sm 4.190 0.000 4.090
Dy 4.190 5.316 1.021
Dy 4.190 3.542 4.093
Dy 4.190 1.768 1.021
Dy 1.397 -1.774 5.114
Dy 1.397 0.000 2.042
Dy 1.397 1.774 5.114


Record 6
! La2CdAu2 (SCAN, single point on PBEsol structure); values from VASP
! crystal system = tetragonal
! SG = P4/mbm (127)
! DFT formation energy = -4.7 eV/f.u.
&SYSTEM
  ibrav = 0, nat = 10, ntyp = 3
/
ATOMIC_SPECIES
Cd 112.41 Cd.upf
Au 196.97 Au.upf
La 138.91 La.upf
CELL_PARAMETERS angstrom
-2.492 -2.686 -1.375
3.108 -5.468 5.049
-5.387 2.124 5.616
ATOMIC_POSITIONS angstrom
Cd 0.000 0.000 0.000
Cd -1.139 -1.672 5.333
Au -3.542 -0.184 6.781
Au -0.668 -3.439 7.930
Au 1.264 -3.161 3.884
Au -1.610 0.094 2.736
La -4.333 -0.860 3.965
La -3.610 -3.267 7.355
La -0.437 -5.171 5.326
La -1.161 -2.764 1.935


| no. | D(E_F) (states/eV/f.u.) | energy (eV/cell) |
| --- | --- | --- |
| 1 | 4.98 | -117.94 |
| 2 | 4.88 | -147.45 |
| 3 | 2.13 | -90.87 |
| 4 | 4.11 | -266.33 |
| 5 | 6.42 | -375.55 |
| 6 | 3.41 | -519.28 |